! ZrMnTc2F, optimized geometry, DFT PBE with a Hubbard U; values from VASP
! SG = P4/mmm
! final energy = -7.42 eV/atom
! total moment = 3.32 μB per formula unit
! DOS at the Fermi energy = 0.9746 states/eV/atom
&SYSTEM
  ibrav = 0, nat = 5, ntyp = 4
/
ATOMIC_SPECIES
Tc 98.00 Tc.upf
Mn 54.94 Mn.upf
Zr 91.22 Zr.upf
F 19.00 F.upf
CELL_PARAMETERS angstrom
4.334 0.000 0.000
0.000 4.334 0.000
0.000 0.000 4.294
ATOMIC_POSITIONS crystal
Tc 0.000 0.500 0.000
Mn 0.500 0.500 0.500
Zr 0.000 0.000 0.500
F 0.000 0.000 0.000
Tc 0.500 0.000 0.000